No. 1
# PBE DyTl2AgCl6, relaxed
data_DyTl2AgCl6
_symmetry_space_group_name_H-M 'P 1 21/c 1'
_symmetry_Int_Tables_number 14
_symmetry_space_group_name_Hall '-P 2ybc'
_cell_length_a 7.375
_cell_length_b 7.701
_cell_length_c 12.664
_cell_angle_alpha 90.00
_cell_angle_beta 124.98
_cell_angle_gamma 90.00
loop_
_atom_site_label
_atom_site_fract_x
_atom_site_fract_y
_atom_site_fract_z
Dy1 0.000 0.000 0.000
Tl1 0.271 0.067 0.752
Ag1 0.500 0.000 0.500
Cl1 0.160 0.019 0.248
Cl2 0.234 0.714 0.044
Cl3 0.334 0.192 0.043
# Magnetization ... 0.00 μB per formula unit
# Fermi-level density of states ... 0.000 states/eV per atom
# Calculated density ... 5.0 g cm⁻³
# Electronic total energy ... -3.756 eV per atom


No. 2
# PBE ErAg3Cl6, relaxed
data_ErAg3Cl6
_symmetry_space_group_name_H-M 'P 1 21/c 1'
_symmetry_Int_Tables_number 14
_symmetry_space_group_name_Hall '-P 2ybc'
_cell_length_a 6.918
_cell_length_b 6.879
_cell_length_c 12.459
_cell_angle_alpha 90.00
_cell_angle_beta 122.10
_cell_angle_gamma 90.00
loop_
_atom_site_label
_atom_site_fract_x
_atom_site_fract_y
_atom_site_fract_z
Er1 0.000 0.000 0.000
Ag1 0.265 0.039 0.759
Ag2 0.500 0.000 0.500
Cl1 0.071 0.179 0.413
Cl2 0.273 0.673 0.443
Cl3 0.348 0.099 0.228
# Magnetization ... 0.00 μB per formula unit
# Fermi-level density of states ... 0.000 states/eV per atom
# Calculated density ... 4.7 g cm⁻³
# Electronic total energy ... -3.571 eV per atom


No. 3
# PBE Er2AgCl8, relaxed
data_Er2AgCl8
_symmetry_space_group_name_H-M 'C 1 2/m 1'
_symmetry_Int_Tables_number 12
_symmetry_space_group_name_Hall '-C 2y'
_cell_length_a 13.997
_cell_length_b 6.363
_cell_length_c 9.644
_cell_angle_alpha 90.00
_cell_angle_beta 105.72
_cell_angle_gamma 90.00
loop_
_atom_site_label
_atom_site_fract_x
_atom_site_fract_y
_atom_site_fract_z
Er1 0.233 0.000 0.316
Ag1 0.000 0.000 0.000
Cl1 0.102 0.500 0.716
Cl2 0.119 0.259 0.139
Cl3 0.213 0.000 0.570
# Magnetization ... 0.00 μB per formula unit
# Fermi-level density of states ... 0.185 states/eV per atom
# Calculated density ... 2.9 g cm⁻³
# Electronic total energy ... -4.023 eV per atom


No. 4
# PBE ErAg3Cl7, relaxed
data_ErAg3Cl7
_symmetry_space_group_name_H-M 'C 1 m 1'
_symmetry_Int_Tables_number 8
_symmetry_space_group_name_Hall 'C -2y'
_cell_length_a 11.540
_cell_length_b 8.374
_cell_length_c 8.143
_cell_angle_alpha 90.00
_cell_angle_beta 130.55
_cell_angle_gamma 90.00
loop_
_atom_site_label
_atom_site_fract_x
_atom_site_fract_y
_atom_site_fract_z
Er1 0.000 0.000 0.000
Ag1 0.048 0.500 0.937
Ag2 0.498 0.230 0.439
Cl1 0.052 0.213 0.799
Cl2 0.210 0.500 0.651
Cl3 0.288 0.000 0.343
Cl4 0.402 0.500 0.247
Cl5 0.488 0.202 0.113
# Magnetization ... 0.00 μB per formula unit
# Fermi-level density of states ... 0.356 states/eV per atom
# Calculated density ... 4.1 g cm⁻³
# Electronic total energy ... -3.423 eV per atom


No. 5
# PBE ErAgCl, relaxed
data_ErAgCl
_symmetry_space_group_name_H-M 'A m m 2'
_symmetry_Int_Tables_number 38
_symmetry_space_group_name_Hall 'A 2 -2'
_cell_length_a 14.717
_cell_length_b 3.552
_cell_length_c 6.154
_cell_angle_alpha 90.00
_cell_angle_beta 90.00
_cell_angle_gamma 90.00
loop_
_atom_site_label
_atom_site_fract_x
_atom_site_fract_y
_atom_site_fract_z
Er1 0.148 0.000 0.000
Ag1 0.000 0.000 0.667
Ag2 0.500 0.000 0.675
Cl1 0.273 0.000 0.667
# Magnetization ... 0.00 μB per formula unit
# Fermi-level density of states ... 0.474 states/eV per atom
# Calculated density ... 6.4 g cm⁻³
# Electronic total energy ... -3.844 eV per atom


No. 6
# PBE ErAg6Cl12, relaxed
data_ErAg6Cl12
_symmetry_space_group_name_H-M 'R -3'
_symmetry_Int_Tables_number 148
_symmetry_space_group_name_Hall '-R 3'
_cell_length_a 10.8497
_cell_length_b 10.8497
_cell_length_c 18.0172
_cell_angle_alpha 90.00
_cell_angle_beta 90.00
_cell_angle_gamma 120.00
loop_
_atom_site_label
_atom_site_fract_x
_atom_site_fract_y
_atom_site_fract_z
Er1 0.0000 0.0000 0.0000
Ag1 0.0394 0.7758 0.6654
Cl1 0.0276 0.8264 0.3792
Cl2 0.0879 0.8606 0.9163
# Magnetization ... 0.00 μB per formula unit
# Fermi-level density of states ... 0.411 states/eV per atom
# Calculated density ... 3.4 g cm⁻³
# Electronic total energy ... -3.086 eV per atom


> Which of these has the lowest calculated density?

Er2AgCl8


> Which value of Fermi-level density of states does entry 1 give?

0.000 states/eV per atom